No. 1
{
  "formula": "Y2TlTcH",
  "functional": "PBE",
  "state": "relaxed",
  "dft_energy_ev_per_atom": -6.038,
  "magnetic_moment_mub_per_cell": 0.00,
  "dos_ef_per_ev_atom": 0.550,
  "lattice_angstrom": [[5.1294, 0.0000, 0.0000], [0.0000, 5.1294, 0.0000], [0.0000, 0.0000, 3.6681]],
  "species": ["Y", "Y", "Tl", "Tc", "H"],
  "frac_coords": [[0.0000, 0.5000, 0.0000], [0.5000, 0.0000, 0.0000], [0.0000, 0.0000, 0.5000], [0.5000, 0.5000, 0.5000], [0.5000, 0.5000, 0.0000]]
}

---

No. 2
{
  "formula": "Zr2TlTcH",
  "functional": "PBE",
  "state": "relaxed",
  "dft_energy_ev_per_atom": -6.791,
  "magnetic_moment_mub_per_cell": 0.00,
  "dos_ef_per_ev_atom": 0.624,
  "lattice_angstrom": [[4.6208, 0.0000, 0.0000], [0.0000, 4.6208, 0.0000], [0.0000, 0.0000, 3.8630]],
  "species": ["Zr", "Zr", "Tl", "Tc", "H"],
  "frac_coords": [[0.0000, 0.5000, 0.0000], [0.5000, 0.0000, 0.0000], [0.0000, 0.0000, 0.5000], [0.5000, 0.5000, 0.5000], [0.5000, 0.5000, 0.0000]]
}

---

No. 3
{
  "formula": "TmTcH",
  "functional": "PBE",
  "state": "relaxed",
  "dft_energy_ev_per_atom": -6.261,
  "magnetic_moment_mub_per_cell": 0.00,
  "dos_ef_per_ev_atom": 0.709,
  "lattice_angstrom": [[2.5463, 1.4701, 11.9059], [-2.5463, 1.4701, 11.9059], [0.0000, -2.9402, 11.9059]],
  "species": ["Tm", "Tm", "Tm", "Tm", "Tm", "Tm", "Tc", "Tc", "Tc", "Tc", "Tc", "Tc", "H", "H", "H", "H", "H", "H"],
  "frac_coords": [[0.0450, 0.0450, 0.0450], [0.1442, 0.1442, 0.1442], [0.2448, 0.2448, 0.2448], [0.7552, 0.7552, 0.7552], [0.8558, 0.8558, 0.8558], [0.9550, 0.9550, 0.9550], [0.0000, 0.5000, 0.5000], [0.4023, 0.4023, 0.4023], [0.5000, 0.0000, 0.5000], [0.5000, 0.5000, 0.0000], [0.5000, 0.5000, 0.5000], [0.5977, 0.5977, 0.5977], [0.2245, 0.7456, 0.7456], [0.2544, 0.2544, 0.7755], [0.2544, 0.7755, 0.2544], [0.7456, 0.2245, 0.7456], [0.7456, 0.7456, 0.2245], [0.7755, 0.2544, 0.2544]]
}

---

No. 4
{
  "formula": "Tm3Tc5H12",
  "functional": "PBE",
  "state": "relaxed",
  "dft_energy_ev_per_atom": -5.458,
  "magnetic_moment_mub_per_cell": 0.06,
  "dos_ef_per_ev_atom": 0.689,
  "lattice_angstrom": [[-5.6797, 5.6797, 5.6797], [5.6797, -5.6797, 5.6797], [5.6797, 5.6797, -5.6797]],
  "species": ["Tm", "Tm", "Tm", "Tm", "Tm", "Tm", "Tm", "Tm", "Tm", "Tm", "Tm", "Tm", "Tc", "Tc", "Tc", "Tc", "Tc", "Tc", "Tc", "Tc", "Tc", "Tc", "Tc", "Tc", "Tc", "Tc", "Tc", "Tc", "Tc", "Tc", "Tc", "Tc", "H", "H", "H", "H", "H", "H", "H", "H", "H", "H", "H", "H", "H", "H", "H", "H", "H", "H", "H", "H", "H", "H", "H", "H", "H", "H", "H", "H", "H", "H", "H", "H", "H", "H", "H", "H", "H", "H", "H", "H", "H", "H", "H", "H", "H", "H", "H", "H"],
  "frac_coords": [[0.1250, 0.2500, 0.3750], [0.1250, 0.3750, 0.7500], [0.2500, 0.3750, 0.1250], [0.2500, 0.8750, 0.6250], [0.3750, 0.1250, 0.2500], [0.3750, 0.7500, 0.1250], [0.6250, 0.2500, 0.8750], [0.6250, 0.8750, 0.7500], [0.7500, 0.1250, 0.3750], [0.7500, 0.6250, 0.8750], [0.8750, 0.6250, 0.2500], [0.8750, 0.7500, 0.6250], [0.0000, 0.0000, 0.0000], [0.0000, 0.0000, 0.5000], [0.0000, 0.5000, 0.0000], [0.0000, 0.5000, 0.5000], [0.1250, 0.7500, 0.8750], [0.1250, 0.8750, 0.2500], [0.2500, 0.1250, 0.8750], [0.2500, 0.6250, 0.3750], [0.3750, 0.2500, 0.6250], [0.3750, 0.6250, 0.7500], [0.5000, 0.0000, 0.0000], [0.5000, 0.0000, 0.5000], [0.5000, 0.5000, 0.0000], [0.5000, 0.5000, 0.5000], [0.6250, 0.3750, 0.2500], [0.6250, 0.7500, 0.3750], [0.7500, 0.3750, 0.6250], [0.7500, 0.8750, 0.1250], [0.8750, 0.1250, 0.7500], [0.8750, 0.2500, 0.1250], [0.0364, 0.2074, 0.1179], [0.0364, 0.3289, 0.9185], [0.0815, 0.6179, 0.4105], [0.0815, 0.9636, 0.6711], [0.0895, 0.7074, 0.6711], [0.0895, 0.8821, 0.4185], [0.1179, 0.0364, 0.2074], [0.1179, 0.5815, 0.9105], [0.1711, 0.2074, 0.5895], [0.1711, 0.4636, 0.5815], [0.2074, 0.1179, 0.0364], [0.2074, 0.5895, 0.1711], [0.2926, 0.3289, 0.9105], [0.2926, 0.4636, 0.3821], [0.3289, 0.9105, 0.2926], [0.3289, 0.9185, 0.0364], [0.3821, 0.2926, 0.4636], [0.3821, 0.5895, 0.9185], [0.4105, 0.0815, 0.6179], [0.4105, 0.8289, 0.7926], [0.4185, 0.0895, 0.8821], [0.4185, 0.8289, 0.5364], [0.4636, 0.3821, 0.2926], [0.4636, 0.5815, 0.1711], [0.5364, 0.4185, 0.8289], [0.5364, 0.6179, 0.7074], [0.5815, 0.1711, 0.4636], [0.5815, 0.9105, 0.1179], [0.5895, 0.1711, 0.2074], [0.5895, 0.9185, 0.3821], [0.6179, 0.4105, 0.0815], [0.6179, 0.7074, 0.5364], [0.6711, 0.0815, 0.9636], [0.6711, 0.0895, 0.7074], [0.7074, 0.5364, 0.6179], [0.7074, 0.6711, 0.0895], [0.7926, 0.4105, 0.8289], [0.7926, 0.8821, 0.9636], [0.8289, 0.5364, 0.4185], [0.8289, 0.7926, 0.4105], [0.8821, 0.4185, 0.0895], [0.8821, 0.9636, 0.7926], [0.9105, 0.1179, 0.5815], [0.9105, 0.2926, 0.3289], [0.9185, 0.0364, 0.3289], [0.9185, 0.3821, 0.5895], [0.9636, 0.6711, 0.0815], [0.9636, 0.7926, 0.8821]]
}

---

No. 5
{
  "formula": "TmTcH4",
  "functional": "PBE",
  "state": "relaxed",
  "magnetic_moment_mub_per_cell": 0.00,
  "dos_ef_per_ev_atom": 0.211,
  "e_above_lowest_polymorph_mev_per_atom": 0,
  "lattice_angstrom": [[8.6825, 0.0000, 0.0000], [0.0000, 2.9845, 2.0874], [0.0000, -2.9845, 2.0874]],
  "species": ["Tm", "Tm", "Tc", "Tc", "H", "H", "H", "H", "H", "H", "H", "H"],
  "frac_coords": [[0.0000, 0.0000, 0.0000], [0.5000, 0.0000, 0.0000], [0.2500, 0.6515, 0.3472], [0.7500, 0.3472, 0.6515], [0.0498, 0.6450, 0.3539], [0.2500, 0.1485, 0.3373], [0.2500, 0.6822, 0.8560], [0.4502, 0.6450, 0.3539], [0.5498, 0.3539, 0.6450], [0.7500, 0.3373, 0.1485], [0.7500, 0.8560, 0.6822], [0.9502, 0.3539, 0.6450]]
}

---

No. 6
{
  "formula": "TmTcH5",
  "functional": "PBE",
  "state": "relaxed",
  "dft_energy_ev_per_atom": -4.621,
  "magnetic_moment_mub_per_cell": 0.00,
  "dos_ef_per_ev_atom": 0.318,
  "lattice_angstrom": [[-2.6381, 3.4705, 1.8425], [2.6381, -3.4705, 1.8425], [2.6381, 3.4705, -1.8425]],
  "species": ["Tm", "Tc", "H", "H", "H", "H", "H"],
  "frac_coords": [[0.0000, 0.0000, 0.0000], [0.4728, 0.9728, 0.5000], [0.0618, 0.7804, 0.2814], [0.4960, 0.3180, 0.8221], [0.4960, 0.6739, 0.1779], [0.4991, 0.7804, 0.7186], [0.9840, 0.4840, 0.5000]]
}

---

No. 7
{
  "formula": "TmTcH4",
  "functional": "PBE",
  "state": "relaxed",
  "magnetic_moment_mub_per_cell": 0.00,
  "dos_ef_per_ev_atom": 0.374,
  "e_above_lowest_polymorph_mev_per_atom": 63,
  "lattice_angstrom": [[2.9749, -5.0924, 0.0000], [2.9749, 5.0924, 0.0000], [-2.5607, 0.0000, 3.6955]],
  "species": ["Tm", "Tm", "Tc", "Tc", "H", "H", "H", "H", "H", "H", "H", "H"],
  "frac_coords": [[0.1333, 0.8667, 0.7500], [0.8667, 0.1333, 0.2500], [0.4222, 0.5778, 0.2500], [0.5778, 0.4222, 0.7500], [0.1413, 0.5717, 0.3171], [0.2232, 0.2969, 0.7736], [0.2969, 0.2232, 0.2736], [0.4283, 0.8587, 0.1829], [0.5717, 0.1413, 0.8171], [0.7031, 0.7768, 0.7264], [0.7768, 0.7031, 0.2264], [0.8587, 0.4283, 0.6829]]
}

---

No. 8
{
  "formula": "UTc3H",
  "functional": "PBE",
  "state": "relaxed",
  "dft_energy_ev_per_atom": -9.190,
  "magnetic_moment_mub_per_cell": 0.00,
  "dos_ef_per_ev_atom": 0.583,
  "lattice_angstrom": [[4.0712, 0.0000, 0.0000], [0.0000, 4.0712, 0.0000], [0.0000, 0.0000, 4.0712]],
  "species": ["U", "Tc", "Tc", "Tc", "H"],
  "frac_coords": [[0.0000, 0.0000, 0.0000], [0.0000, 0.5000, 0.5000], [0.5000, 0.0000, 0.5000], [0.5000, 0.5000, 0.0000], [0.5000, 0.5000, 0.5000]]
}

---

No. 9
{
  "formula": "UTcH4",
  "functional": "PBE",
  "state": "relaxed",
  "dft_energy_ev_per_atom": -5.986,
  "magnetic_moment_mub_per_cell": 5.24,
  "dos_ef_per_ev_atom": 0.715,
  "lattice_angstrom": [[1.8656, -6.0182, 0.0000], [1.8656, 6.0182, 0.0000], [0.0000, 0.0000, 4.8789]],
  "species": ["U", "U", "Tc", "Tc", "H", "H", "H", "H", "H", "H", "H", "H"],
  "frac_coords": [[0.1281, 0.8719, 0.7500], [0.8719, 0.1281, 0.2500], [0.3954, 0.6046, 0.7500], [0.6046, 0.3954, 0.2500], [0.0956, 0.9044, 0.2500], [0.2952, 0.7048, 0.0097], [0.2952, 0.7048, 0.4903], [0.5000, 0.5000, 0.0000], [0.5000, 0.5000, 0.5000], [0.7048, 0.2952, 0.5097], [0.7048, 0.2952, 0.9903], [0.9044, 0.0956, 0.7500]]
}

---

No. 10
{
  "formula": "UTcH2",
  "functional": "PBE",
  "state": "relaxed",
  "dft_energy_ev_per_atom": -7.112,
  "magnetic_moment_mub_per_cell": 0.00,
  "dos_ef_per_ev_atom": 1.166,
  "lattice_angstrom": [[1.4800, 0.8545, 5.3422], [-1.4800, 0.8545, 5.3422], [0.0000, -1.7089, 5.3422]],
  "species": ["U", "Tc", "H", "H"],
  "frac_coords": [[0.0000, 0.0000, 0.0000], [0.5000, 0.5000, 0.5000], [0.2231, 0.2231, 0.2231], [0.7769, 0.7769, 0.7769]]
}

---

No. 11
{
  "formula": "UTcH3",
  "functional": "PBE",
  "state": "relaxed",
  "dft_energy_ev_per_atom": -6.426,
  "magnetic_moment_mub_per_cell": 2.57,
  "dos_ef_per_ev_atom": 0.780,
  "lattice_angstrom": [[3.6631, 0.0000, 0.0000], [0.0000, 3.6631, 0.0000], [0.0000, 0.0000, 3.6631]],
  "species": ["U", "Tc", "H", "H", "H"],
  "frac_coords": [[0.0000, 0.0000, 0.0000], [0.5000, 0.5000, 0.5000], [0.0000, 0.5000, 0.5000], [0.5000, 0.0000, 0.5000], [0.5000, 0.5000, 0.0000]]
}

---

No. 12
{
  "formula": "V2TcH",
  "functional": "PBE",
  "state": "relaxed",
  "magnetic_moment_mub_per_cell": 0.00,
  "dos_ef_per_ev_atom": 0.972,
  "e_above_lowest_polymorph_mev_per_atom": 0,
  "lattice_angstrom": [[-2.7779, 2.7779, 3.0045], [2.7779, -2.7779, 3.0045], [2.7779, 2.7779, -3.0045]],
  "species": ["V", "V", "V", "V", "Tc", "Tc", "H", "H"],
  "frac_coords": [[0.0349, 0.6250, 0.9099], [0.3750, 0.2849, 0.4099], [0.7151, 0.1250, 0.0901], [0.8750, 0.9651, 0.5901], [0.2500, 0.7500, 0.5000], [0.5000, 0.5000, 0.0000], [0.0000, 0.0000, 0.0000], [0.7500, 0.2500, 0.5000]]
}

---

Please write out number 6 again, unchanged.
{
  "formula": "TmTcH5",
  "functional": "PBE",
  "state": "relaxed",
  "dft_energy_ev_per_atom": -4.621,
  "magnetic_moment_mub_per_cell": 0.00,
  "dos_ef_per_ev_atom": 0.318,
  "lattice_angstrom": [[-2.6381, 3.4705, 1.8425], [2.6381, -3.4705, 1.8425], [2.6381, 3.4705, -1.8425]],
  "species": ["Tm", "Tc", "H", "H", "H", "H", "H"],
  "frac_coords": [[0.0000, 0.0000, 0.0000], [0.4728, 0.9728, 0.5000], [0.0618, 0.7804, 0.2814], [0.4960, 0.3180, 0.8221], [0.4960, 0.6739, 0.1779], [0.4991, 0.7804, 0.7186], [0.9840, 0.4840, 0.5000]]
}